A plane-wave DFT calculation with PBE was carried out for crystalline Sm3Zn4Au4 at its relaxed geometry.

a = 3.7657 Å, b = 4.4426 Å, c = 14.3326 Å
α = 81.39°, β = 82.54°, γ = 90.23°
Positions (direct):
Au  0.4507  0.4498  0.1004
Zn  0.5970  0.0951  0.8077
Zn  0.2559  0.2594  0.4875
Au  0.5493  0.5502  0.8996
Au  0.3107  0.8138  0.3778
Sm  0.8544  0.3556  0.2903
Zn  0.7441  0.7406  0.5125
Au  0.6893  0.1863  0.6222
Zn  0.4030  0.9049  0.1923
Sm  0.1456  0.6445  0.7097
Sm  0.0000  0.0000  0.0000

Computed properties:
size of the total moment = 0.00 μB per atom
final energy = -3.544 eV/atom


A plane-wave DFT calculation with PBE was carried out for crystalline SmZn2Au10 at its relaxed geometry.

a = 5.5190 Å, b = 7.2318 Å, c = 7.2338 Å
α = 81.63°, β = 67.57°, γ = 67.57°
Positions (direct):
Sm  0.0000  0.0000  0.0000
Au  0.7158  0.7772  0.7912
Au  0.5070  0.7772  0.2088
Au  0.9877  0.3489  0.6758
Au  0.6635  0.3489  0.3242
Zn  0.0000  0.5000  0.0000
Zn  0.5000  0.5000  0.0000
Au  0.0000  0.0000  0.5000
Au  0.2842  0.2228  0.2088
Au  0.4930  0.2228  0.7912
Au  0.5000  0.0000  0.5000
Au  0.3365  0.6511  0.6758
Au  0.0123  0.6511  0.3242

Computed properties:
size of the total moment = 0.00 μB per atom
final energy = -3.345 eV/atom


A plane-wave DFT calculation with PBE was carried out for crystalline SmZn4Au at its relaxed geometry.

a = 4.1649 Å, b = 6.7355 Å, c = 8.3368 Å
α = 90.00°, β = 104.47°, γ = 90.00°
Positions (direct):
Zn  0.3353  0.0591  0.6707
Zn  0.3353  0.4409  0.6707
Zn  0.5000  0.0000  0.0000
Zn  0.5000  0.5000  0.0000
Zn  0.6647  0.9409  0.3293
Zn  0.6647  0.5591  0.3293
Sm  0.8814  0.7500  0.7629
Au  0.7648  0.2500  0.5295
Au  0.2352  0.7500  0.4705
Zn  0.0699  0.7500  0.1398
Zn  0.9301  0.2500  0.8602
Sm  0.1186  0.2500  0.2371

Computed properties:
size of the total moment = 0.00 μB per atom
final energy = -2.509 eV/atom
energy above the most stable polymorph in this dataset = 0.0 meV per atom


A plane-wave DFT calculation with PBE was carried out for crystalline SmZn4Au8 at its relaxed geometry.

a = 5.4098 Å, b = 7.1232 Å, c = 7.1232 Å
α = 81.71°, β = 67.68°, γ = 67.68°
Positions (direct):
Sm  0.0000  0.0000  0.0000
Zn  0.5000  0.0000  0.5000
Au  0.5000  0.2170  0.7830
Au  0.6648  0.3352  0.3352
Zn  0.0000  0.0000  0.5000
Zn  0.0000  0.5000  0.0000
Au  0.0000  0.6648  0.3352
Zn  0.5000  0.5000  0.0000
Au  0.7170  0.7830  0.7830
Au  0.2830  0.2170  0.2170
Au  0.5000  0.7830  0.2170
Au  0.3352  0.6648  0.6648
Au  0.0000  0.3352  0.6648

Computed properties:
size of the total moment = 0.00 μB per atom
final energy = -3.125 eV/atom
energy above the most stable polymorph in this dataset = 0.0 meV per atom


A plane-wave DFT calculation with PBE was carried out for crystalline Sm5Zn2Au2 at its relaxed geometry.

a = 7.6528 Å, b = 7.4878 Å, c = 9.1665 Å
α = 114.11°, β = 90.00°, γ = 90.00°
Positions (direct):
Au  0.0000  0.2106  0.4212
Zn  0.1207  0.6159  0.0000
Sm  0.5000  0.5000  0.0000
Au  0.0000  0.7894  0.5788
Zn  0.3793  0.1159  0.0000
Zn  0.6207  0.8841  0.0000
Sm  0.0000  0.0000  0.0000
Sm  0.3262  0.6827  0.7162
Au  0.5000  0.2894  0.5788
Sm  0.1738  0.1827  0.7162
Zn  0.8793  0.3841  0.0000
Sm  0.6738  0.3173  0.2838
Sm  0.6738  0.0335  0.7162
Sm  0.8262  0.8173  0.2838
Sm  0.1738  0.4665  0.2838
Au  0.5000  0.7106  0.4212
Sm  0.3262  0.9665  0.2838
Sm  0.8262  0.5335  0.7162

Computed properties:
size of the total moment = 0.00 μB per atom
final energy = -4.098 eV/atom


A plane-wave DFT calculation with PBE was carried out for crystalline SmZn6Au6 at its relaxed geometry.

a = 5.2685 Å, b = 7.0700 Å, c = 7.0700 Å
α = 80.16°, β = 68.12°, γ = 68.12°
Positions (direct):
Au  0.6591  0.3409  0.3409
Zn  0.0000  0.0000  0.5000
Au  0.3230  0.1770  0.1770
Zn  0.5000  0.2416  0.7584
Zn  0.5000  0.5000  0.0000
Zn  0.5000  0.7584  0.2416
Sm  0.0000  0.0000  0.0000
Au  0.6770  0.8230  0.8230
Zn  0.5000  0.0000  0.5000
Zn  0.0000  0.5000  0.0000
Au  0.0000  0.6631  0.3369
Au  0.3409  0.6591  0.6591
Au  0.0000  0.3369  0.6631

Computed properties:
size of the total moment = 0.00 μB per atom
final energy = -2.823 eV/atom


A plane-wave DFT calculation with PBE was carried out for crystalline SmZn4Au2 at its relaxed geometry.

a = 4.3923 Å, b = 7.6754 Å, c = 7.6754 Å
α = 90.00°, β = 90.00°, γ = 90.00°
Positions (direct):
Au  0.5000  0.2903  0.2903
Zn  0.0000  0.9023  0.6464
Zn  0.0000  0.3536  0.0977
Zn  0.0000  0.6464  0.9023
Au  0.0000  0.2097  0.7903
Zn  0.5000  0.5977  0.1464
Sm  0.5000  0.0000  0.0000
Au  0.5000  0.7097  0.7097
Zn  0.5000  0.1464  0.5977
Zn  0.5000  0.4023  0.8536
Zn  0.5000  0.8536  0.4023
Sm  0.0000  0.5000  0.5000
Zn  0.0000  0.0977  0.3536
Au  0.0000  0.7903  0.2097

Computed properties:
size of the total moment = 0.00 μB per atom
final energy = -2.751 eV/atom
energy above the most stable polymorph in this dataset = 0.0 meV per atom


A plane-wave DFT calculation with PBE was carried out for crystalline SmZn3Au3 at its relaxed geometry.

a = 8.5797 Å, b = 8.5797 Å, c = 8.5797 Å
α = 60.00°, β = 60.00°, γ = 60.00°
Positions (direct):
Zn  0.8538  0.8538  0.1462
Sm  0.7500  0.7500  0.7500
Zn  0.1462  0.1462  0.8538
Zn  0.1462  0.8538  0.8538
Au  0.6613  0.6613  0.3387
Au  0.3387  0.3387  0.6613
Au  0.3387  0.6613  0.3387
Au  0.6613  0.3387  0.6613
Au  0.3387  0.6613  0.6613
Au  0.6613  0.3387  0.3387
Zn  0.8538  0.1462  0.1462
Sm  0.2500  0.2500  0.2500
Zn  0.1462  0.8538  0.1462
Zn  0.8538  0.1462  0.8538

Computed properties:
size of the total moment = 0.00 μB per atom
final energy = -2.041 eV/atom
energy above the most stable polymorph in this dataset = 964.6 meV per atom


A plane-wave DFT calculation with PBE was carried out for crystalline Sm2ZnAu at its relaxed geometry.

a = 3.6898 Å, b = 3.6898 Å, c = 7.1667 Å
α = 90.00°, β = 90.00°, γ = 90.00°
Positions (direct):
Sm  0.0000  0.0000  0.2473
Au  0.5000  0.5000  0.5000
Sm  0.0000  0.0000  0.7527
Zn  0.5000  0.5000  0.0000

Computed properties:
size of the total moment = 0.00 μB per atom
final energy = -4.059 eV/atom


A plane-wave DFT calculation with PBE was carried out for crystalline Sm4ZnAu2 at its relaxed geometry.

a = 5.1471 Å, b = 5.1471 Å, c = 8.8341 Å
α = 73.06°, β = 73.06°, γ = 60.00°
Positions (direct):
Sm  0.3769  0.3769  0.8692
Sm  0.8739  0.8739  0.3782
Sm  0.6231  0.6231  0.1308
Au  0.2499  0.2499  0.2503
Zn  0.0000  0.0000  0.0000
Au  0.7501  0.7501  0.7497
Sm  0.1261  0.1261  0.6218

Computed properties:
size of the total moment = 0.00 μB per atom
final energy = -4.296 eV/atom


A plane-wave DFT calculation with PBE was carried out for crystalline Sm4ZnAu7 at its relaxed geometry.

a = 4.9792 Å, b = 8.5735 Å, c = 7.7409 Å
α = 68.39°, β = 71.24°, γ = 73.12°
Positions (direct):
Sm  0.2698  0.2579  0.2026
Au  0.5000  0.0000  0.0000
Sm  0.4371  0.7494  0.3764
Au  0.0961  0.6555  0.1523
Zn  0.0000  0.0000  0.0000
Sm  0.7302  0.7421  0.7974
Au  0.9039  0.3445  0.8477
Au  0.6680  0.4544  0.2097
Au  0.1885  0.0093  0.6137
Sm  0.5629  0.2506  0.6236
Au  0.3320  0.5456  0.7903
Au  0.8115  0.9907  0.3863

Computed properties:
size of the total moment = 0.00 μB per atom
final energy = -4.242 eV/atom


A plane-wave DFT calculation with PBE was carried out for crystalline Sm5ZnAu2 at its relaxed geometry.

a = 5.2480 Å, b = 6.1044 Å, c = 15.7826 Å
α = 90.00°, β = 90.00°, γ = 115.46°
Positions (direct):
Au  0.2236  0.4472  0.6179
Sm  0.0514  0.1028  0.1072
Sm  0.3524  0.7048  0.4547
Au  0.2236  0.4472  0.8821
Sm  0.6476  0.2952  0.9547
Zn  0.2653  0.5306  0.2500
Au  0.7764  0.5528  0.1179
Sm  0.3524  0.7048  0.0453
Sm  0.9486  0.8972  0.8928
Sm  0.0514  0.1028  0.3928
Sm  0.5892  0.1784  0.2500
Sm  0.4108  0.8216  0.7500
Sm  0.6476  0.2952  0.5453
Sm  0.9486  0.8972  0.6072
Zn  0.7347  0.4694  0.7500
Au  0.7764  0.5528  0.3821

Computed properties:
size of the total moment = 0.00 μB per atom
final energy = -4.224 eV/atom


A plane-wave DFT calculation with PBE was carried out for crystalline SmZn10Au2 at its relaxed geometry.

a = 5.4484 Å, b = 6.8817 Å, c = 6.9252 Å
α = 81.04°, β = 66.84°, γ = 66.68°
Positions (direct):
Zn  0.2834  0.2107  0.2224
Au  0.0000  0.5000  0.0000
Zn  0.5000  0.0000  0.5000
Zn  0.9960  0.6486  0.3594
Au  0.5000  0.5000  0.0000
Zn  0.4941  0.7893  0.2224
Sm  0.0000  0.0000  0.0000
Zn  0.7166  0.7893  0.7776
Zn  0.3554  0.6486  0.6406
Zn  0.5059  0.2107  0.7776
Zn  0.0040  0.3514  0.6406
Zn  0.0000  0.0000  0.5000
Zn  0.6446  0.3514  0.3594

Computed properties:
size of the total moment = 0.00 μB per atom
final energy = -2.061 eV/atom


A plane-wave DFT calculation with PBE was carried out for crystalline SmZn11Au at its relaxed geometry.

a = 5.3242 Å, b = 6.8750 Å, c = 6.8730 Å
α = 81.19°, β = 67.21°, γ = 66.71°
Positions (direct):
Zn  0.9939  0.6474  0.3582
Zn  0.5031  0.7846  0.2216
Zn  0.0000  0.5000  0.0000
Zn  0.6479  0.3526  0.3582
Zn  0.0061  0.3526  0.6418
Zn  0.0000  0.0000  0.5000
Sm  0.0000  0.0000  0.0000
Zn  0.5000  0.0000  0.5000
Zn  0.3521  0.6474  0.6418
Zn  0.4969  0.2154  0.7784
Au  0.5000  0.5000  0.0000
Zn  0.7247  0.7846  0.7784
Zn  0.2753  0.2154  0.2216

Computed properties:
size of the total moment = 0.00 μB per atom
final energy = -1.906 eV/atom


A plane-wave DFT calculation with PBE was carried out for crystalline SmZn6Au3 at its relaxed geometry.

a = 4.0034 Å, b = 8.8751 Å, c = 10.8961 Å
α = 104.68°, β = 90.00°, γ = 90.00°
Positions (direct):
Zn  0.7500  0.7967  0.3420
Zn  0.7500  0.6573  0.7967
Zn  0.7500  0.0998  0.4709
Zn  0.7500  0.7757  0.0680
Au  0.7500  0.1312  0.0713
Zn  0.2500  0.5881  0.4045
Zn  0.2500  0.2243  0.9320
Au  0.7500  0.3555  0.8207
Zn  0.2500  0.3427  0.2033
Au  0.7500  0.6911  0.5597
Sm  0.7500  0.9865  0.7612
Zn  0.7500  0.4119  0.5955
Au  0.2500  0.3089  0.4403
Zn  0.2500  0.2033  0.6580
Zn  0.2500  0.9002  0.5291
Au  0.2500  0.8688  0.9287
Sm  0.2500  0.0135  0.2388
Zn  0.7500  0.4430  0.0757
Zn  0.2500  0.5570  0.9243
Au  0.2500  0.6445  0.1793

Computed properties:
size of the total moment = 0.00 μB per atom
final energy = -2.473 eV/atom


A plane-wave DFT calculation with PBE was carried out for crystalline Sm2Zn16Au at its relaxed geometry.

a = 6.8436 Å, b = 6.8436 Å, c = 6.8436 Å
α = 82.69°, β = 82.69°, γ = 82.69°
Positions (direct):
Zn  0.7047  0.9995  0.2950
Zn  0.1628  0.6479  0.6479
Zn  0.8373  0.3526  0.3526
Zn  0.3526  0.3526  0.8373
Zn  0.0011  0.4973  0.0011
Zn  0.9995  0.2950  0.7047
Zn  0.6479  0.1628  0.6479
Zn  0.9995  0.7047  0.2950
Zn  0.4973  0.0011  0.0011
Sm  0.6634  0.6634  0.6634
Sm  0.3364  0.3364  0.3364
Zn  0.7047  0.2950  0.9995
Zn  0.2950  0.9995  0.7047
Zn  0.0011  0.0011  0.4973
Zn  0.1024  0.1024  0.1024
Zn  0.3526  0.8373  0.3526
Zn  0.6479  0.6479  0.1628
Zn  0.2950  0.7047  0.9995
Au  0.8988  0.8988  0.8988

Computed properties:
size of the total moment = 0.00 μB per atom
final energy = -2.018 eV/atom


A plane-wave DFT calculation with PBE was carried out for crystalline Sm8ZnAu2 at its relaxed geometry.

a = 5.2219 Å, b = 6.9791 Å, c = 9.5216 Å
α = 106.01°, β = 105.92°, γ = 90.00°
Positions (direct):
Sm  0.0264  0.7776  0.0527
Sm  0.1987  0.3263  0.3975
Sm  0.8013  0.6737  0.6025
Sm  0.3325  0.0174  0.6650
Sm  0.9736  0.2224  0.9473
Sm  0.4087  0.5383  0.8174
Sm  0.5913  0.4617  0.1826
Zn  0.5000  0.0000  0.0000
Sm  0.6675  0.9826  0.3350
Au  0.1807  0.7323  0.3614
Au  0.8193  0.2677  0.6386

Computed properties:
size of the total moment = 0.00 μB per atom
final energy = -4.480 eV/atom


A plane-wave DFT calculation with PBE was carried out for crystalline Sm8Zn2Au at its relaxed geometry.

a = 5.1776 Å, b = 6.9045 Å, c = 9.4645 Å
α = 102.31°, β = 105.87°, γ = 90.00°
Positions (direct):
Sm  0.9724  0.2318  0.9448
Sm  0.5914  0.4540  0.1827
Zn  0.1909  0.7373  0.3818
Zn  0.8091  0.2627  0.6182
Sm  0.2009  0.3197  0.4019
Sm  0.6630  0.9646  0.3260
Sm  0.0276  0.7682  0.0552
Au  0.5000  0.0000  0.0000
Sm  0.3370  0.0354  0.6740
Sm  0.4086  0.5460  0.8173
Sm  0.7991  0.6803  0.5981

Computed properties:
size of the total moment = 0.00 μB per atom
final energy = -4.180 eV/atom


A plane-wave DFT calculation with PBE was carried out for crystalline Sm3Zn4Au2 at its relaxed geometry.

a = 4.5621 Å, b = 5.8286 Å, c = 8.7332 Å
α = 112.18°, β = 90.00°, γ = 113.04°
Positions (direct):
Au  0.6076  0.2151  0.2733
Sm  0.0000  0.0000  0.0000
Sm  0.3292  0.6584  0.3367
Sm  0.6708  0.3416  0.6633
Au  0.3924  0.7849  0.7267
Zn  0.9560  0.9120  0.6167
Zn  0.7268  0.4536  0.0552
Zn  0.0440  0.0880  0.3833
Zn  0.2732  0.5464  0.9448

Computed properties:
size of the total moment = 0.00 μB per atom
final energy = -3.418 eV/atom


A plane-wave DFT calculation with PBE was carried out for crystalline Sm2Zn3Au2 at its relaxed geometry.

a = 4.5799 Å, b = 5.5492 Å, c = 6.7072 Å
α = 108.61°, β = 90.00°, γ = 114.37°
Positions (direct):
Sm  0.1490  0.2979  0.7672
Au  0.1517  0.3035  0.2308
Zn  0.5000  0.0000  0.0000
Sm  0.8510  0.7021  0.2328
Zn  0.5993  0.1985  0.4211
Au  0.8483  0.6965  0.7692
Zn  0.4007  0.8015  0.5789

Computed properties:
size of the total moment = 0.00 μB per atom
final energy = -3.393 eV/atom